This record from Alexandria via LeMat-Bulk describes a relaxed SrCaZrFeO6 crystal. The functional is PBE with a Hubbard U.

Computed properties:
As for the space group: F-43m. As for the density: 4.74 Mg/m³. As for the energy: -7.248 eV/atom.

abc: 5.6850 5.6850 5.6850
angles: 60.00 60.00 60.00
Fractional coordinates of all 10 atoms:
Sr1 0.2500 0.2500 0.2500
Ca1 0.7500 0.7500 0.7500
Zr1 0.5000 0.5000 0.5000
Fe1 0.0000 0.0000 0.0000
O1 0.2422 0.7578 0.2422
O2 0.7578 0.2422 0.7578
O3 0.2422 0.7578 0.7578
O4 0.7578 0.2422 0.2422
O5 0.2422 0.2422 0.7578
O6 0.7578 0.7578 0.2422